1.
PrNdNi2: relaxed, PBE.

Cell lengths 3.8668, 4.3179, 5.6604 Å; angles 90.00, 109.79, 90.00 degrees
With the nearest neighbours (Å) after each atom.
Sites, in units of the cell vectors:
Pr (0.0000, 0.0000, 0.0000)  7 Ni 2.95-3.10
Nd (0.2751, 0.5000, 0.5500)  7 Ni 2.93-3.12
Ni (0.5690, 0.5000, 0.1364)  2 Ni 2.63, 2 Nd 2.93
Ni (0.7084, 0.0000, 0.4184)  2 Ni 2.63

The value obtained for the formation energy is -1.23 eV/f.u. The relative energy among the computed polymorphs is 0.00 eV/f.u. Its space-group type is Pm, No. 6. For the electronic total energy, the calculation gives -5.586 eV per atom. The crystal system is monoclinic. The value obtained for the total magnetization is 0.0 Bohr magnetons per cell.

***

2.
Er4MgIn2: relaxed, PBE.

Cell lengths 7.4724, 6.4213, 8.8899 Å; angles 90.00, 112.54, 90.00 degrees
With the nearest neighbours (Å) after each atom.
Sites, in units of the cell vectors:
Er (0.0769, 0.2500, 0.0488)  1 Mg 3.09, 1 In 3.27, 2 Er 3.41
Er (0.1436, 0.0040, 0.7186)  1 Mg 3.09, 4 In 3.16-3.43, 2 Er 3.16-3.26
Er (0.1436, 0.4960, 0.7186)  1 Mg 3.09, 4 In 3.16-3.43, 2 Er 3.16-3.26
Er (0.3003, 0.7500, 0.3319)  4 In 3.14-3.44, 1 Mg 3.15, 1 Er 3.48
Er (0.6997, 0.2500, 0.6681)  4 In 3.14-3.44, 1 Mg 3.15, 1 Er 3.48
Er (0.8564, 0.5040, 0.2814)  1 Mg 3.09, 4 In 3.16-3.43, 2 Er 3.16-3.26
Er (0.8564, 0.9960, 0.2814)  1 Mg 3.09, 4 In 3.16-3.43, 2 Er 3.16-3.26
Er (0.9231, 0.7500, 0.9512)  1 Mg 3.09, 1 In 3.27, 2 Er 3.41
Mg (0.4928, 0.7500, 0.7152)  2 In 2.85-3.06, 4 Er 3.09-3.15
Mg (0.5072, 0.2500, 0.2848)  2 In 2.85-3.06, 4 Er 3.09-3.15
In (0.2446, 0.2500, 0.4474)  1 Mg 2.85, 2 Er 3.16
In (0.4380, 0.7500, 0.0392)  1 Mg 3.06, 5 Er 3.14-3.43
In (0.5620, 0.2500, 0.9608)  1 Mg 3.06, 5 Er 3.14-3.43
In (0.7554, 0.7500, 0.5526)  1 Mg 2.85, 2 Er 3.16

The value obtained for the formation energy is -0.86 eV/f.u. The relative energy among the computed polymorphs is 0.72 eV/f.u. Its space-group type is P2_1/m, No. 11. For the electronic total energy, the calculation gives -3.741 eV per atom. The crystal system is monoclinic. The value obtained for the total magnetization is 0.0 Bohr magnetons per cell.

***

3.
Sr3HoTm3Te8: relaxed, PBE.

Cell lengths 9.1412, 9.1412, 9.1412 Å; angles 57.67, 57.67, 57.67 degrees
With the nearest neighbours (Å) after each atom.
Sites, in units of the cell vectors:
Sr (0.0000, 0.5000, 0.5000)  6 Te 3.28-3.29
Sr (0.5000, 0.0000, 0.5000)  6 Te 3.28-3.29
Sr (0.5000, 0.5000, 0.0000)  6 Te 3.28-3.29
Ho (0.5000, 0.5000, 0.5000)  6 Te 3.12
Tm (0.0000, 0.0000, 0.5000)  6 Te 3.06-3.07
Tm (0.0000, 0.5000, 0.0000)  6 Te 3.06-3.07
Tm (0.5000, 0.0000, 0.0000)  6 Te 3.06-3.07
Te (0.2363, 0.7463, 0.7463)  2 Tm 3.06, 1 Ho 3.12, 2 Sr 3.29
Te (0.2423, 0.2423, 0.2423)  3 Tm 3.07, 3 Sr 3.28
Te (0.2537, 0.2537, 0.7637)  2 Tm 3.06, 1 Ho 3.12, 2 Sr 3.29
Te (0.2537, 0.7637, 0.2537)  2 Tm 3.06, 1 Ho 3.12, 2 Sr 3.29
Te (0.7463, 0.2363, 0.7463)  2 Tm 3.06, 1 Ho 3.12, 2 Sr 3.29
Te (0.7463, 0.7463, 0.2363)  2 Tm 3.06, 1 Ho 3.12, 2 Sr 3.29
Te (0.7577, 0.7577, 0.7577)  3 Tm 3.07, 3 Sr 3.28
Te (0.7637, 0.2537, 0.2537)  2 Tm 3.06, 1 Ho 3.12, 2 Sr 3.29

For the uncorrected formation energy, the calculation gives -143 kJ per mole of atoms. Its space-group type is R-3m, No. 166. For the electronic total energy, the calculation gives -4.691 eV per atom. The crystal system is trigonal. The value obtained for the total magnetization is 0.0 Bohr magnetons per cell.